TiV3C: optimized geometry, PBE-GGA.

Cell lengths 3.0545, 7.6970, 10.3836 Å; angles 90.00, 90.00, 90.00 degrees
Fractional coordinates of all 20 atoms:
Ti1 0.7500 0.8209 0.9774
Ti2 0.2500 0.6791 0.4774
Ti3 0.7500 0.3209 0.5226
Ti4 0.2500 0.1791 0.0226
V1 0.2500 0.5522 0.0805
V2 0.7500 0.4478 0.9195
V3 0.2500 0.0522 0.4195
V4 0.7500 0.9478 0.5805
V5 0.2500 0.4014 0.7289
V6 0.7500 0.0986 0.2289
V7 0.2500 0.9014 0.7711
V8 0.7500 0.6540 0.7181
V9 0.2500 0.3460 0.2819
V10 0.7500 0.1540 0.7819
V11 0.7500 0.5986 0.2711
V12 0.2500 0.8460 0.2181
C1 0.2500 0.1396 0.6307
C2 0.2500 0.6396 0.8693
C3 0.7500 0.3604 0.1307
C4 0.7500 0.8604 0.3693

Summary:
**Crystal system**: orthorhombic
**Calculated total energy**: -9.159 eV/atom
**Energy relative to the elements**: -0.265 eV/atom
**ΔE to the lowest computed polymorph**: 0 meV/atom
**V**: 12.21 Å³ per atom
**Symmetry**: No. 62